Here is a relaxed Pm3Mg2Pt4 crystal from Alexandria. Energies are from PBE.

Cell lengths 10.2834, 4.3217, 9.1106 Å; angles 90.00, 95.20, 90.00 degrees
Space group C2/m (No. 12)
Inequivalent atoms, fractional coordinates:
1 Pm 0.0000 0.0000 0.0000
2 Pm 0.1244 0.5000 0.3827
3 Mg 0.1763 0.5000 0.7889
4 Pt 0.0860 0.0000 0.6288
5 Pt 0.2060 0.5000 0.0880

## Properties
total magnetic moment = 0.0 μB per cell
energy of formation from the pure elements = -978 meV per atom
volume = 22.40 Å³/atom
D(E_F) = 4.2 states/eV/f.u.
energy = -100.81 eV for the cell shown

***

Here is a relaxed Pm2MgPt crystal from Alexandria. Energies are from PBE.

Cell lengths 3.3283, 3.3283, 33.4091 Å; angles 90.00, 90.00, 120.00 degrees
Space group R-3m (No. 166, hexagonal axes)
Inequivalent atoms, fractional coordinates:
1 Pm 0.0000 0.0000 0.0812
2 Mg 0.0000 0.0000 0.5000
3 Pt 0.0000 0.0000 0.0000

## Properties
total magnetic moment = 0.0 μB per cell
energy of formation from the pure elements = 121 meV per atom
excess energy over the best structure of this formula in the dataset = 2.88 eV per formula unit
volume = 26.71 Å³/atom
D(E_F) = 5.1 states/eV/f.u.
energy = -49.96 eV for the cell shown

***

Here is a relaxed Pm8MgPt2 crystal from Alexandria. Energies are from PBE.

Cell lengths 8.8387, 13.9396, 5.7006 Å; angles 90.00, 103.91, 90.00 degrees
Space group C2/m (No. 12)
Inequivalent atoms, fractional coordinates:
1 Pm 0.0000 0.2485 0.0000
2 Pm 0.1029 0.0000 0.8033
3 Pm 0.2041 0.3753 0.5708
4 Mg 0.0000 0.5000 0.0000
5 Pt 0.0000 0.1982 0.5000

## Properties
total magnetic moment = 0.0 μB per cell
energy of formation from the pure elements = -366 meV per atom
volume = 30.99 Å³/atom
D(E_F) = 13.8 states/eV/f.u.
energy = -111.41 eV for the cell shown

***

Here is a relaxed PmMgPt4 crystal from Alexandria. Energies are from PBE.

Cell lengths 7.6471, 7.6471, 7.6471 Å; angles 90.00, 90.00, 90.00 degrees
Space group F-43m (No. 216)
Inequivalent atoms, fractional coordinates:
1 Pm 0.0000 0.0000 0.0000
2 Mg 0.2500 0.2500 0.7500
3 Pt 0.1243 0.1243 0.3757

## Properties
total magnetic moment = 0.0 μB per cell
energy of formation from the pure elements = -916 meV per atom
volume = 18.63 Å³/atom
D(E_F) = 6.9 states/eV/f.u.
energy = -144.02 eV for the cell shown

***

Here is a relaxed PmMg3Pt3 crystal from Alexandria. Energies are from PBE.

Cell lengths 7.0052, 7.0052, 7.0052 Å; angles 90.00, 90.00, 90.00 degrees
Space group Pm-3n (No. 223)
Inequivalent atoms, fractional coordinates:
1 Pm 0.0000 0.0000 0.0000
2 Mg 0.0000 0.2500 0.5000
3 Pt 0.0000 0.5000 0.2500

## Properties
total magnetic moment = 0.0 μB per cell
energy of formation from the pure elements = -169 meV per atom
volume = 24.55 Å³/atom
D(E_F) = 2.0 states/eV/f.u.
energy = -57.68 eV for the cell shown

***

Here is a relaxed PmMgPt crystal from Alexandria. Energies are from PBE.

Cell lengths 7.4668, 4.1971, 12.9246 Å; angles 90.00, 90.22, 90.00 degrees
Space group P2_1/m (No. 11)
Inequivalent atoms, fractional coordinates:
1 Pm 0.0392 0.2500 0.1228
2 Pm 0.1571 0.2500 0.4167
3 Pm 0.4530 0.7500 0.7856
4 Mg 0.1287 0.2500 0.7020
5 Mg 0.3657 0.7500 0.0410
6 Mg 0.4983 0.2500 0.5842
7 Pt 0.2473 0.7500 0.2502
8 Pt 0.2524 0.7500 0.5826
9 Pt 0.2537 0.2500 0.9182

## Properties
total magnetic moment = 0.0 μB per cell
energy of formation from the pure elements = -912 meV per atom
excess energy over the best structure of this formula in the dataset = 0.00 eV per formula unit
volume = 22.50 Å³/atom
D(E_F) = 2.1 states/eV/f.u.
energy = -90.74 eV for the cell shown

***

Here is a relaxed PmMg4Pt2 crystal from Alexandria. Energies are from PBE.

Cell lengths 8.0779, 8.0779, 4.4483 Å; angles 90.00, 90.00, 90.00 degrees
Space group P4_2/mnm (No. 136)
Inequivalent atoms, fractional coordinates:
1 Pm 0.0000 0.0000 0.0000
2 Mg 0.0883 0.3356 0.5000
3 Pt 0.2282 0.7718 0.5000

## Properties
total magnetic moment = 0.0 μB per cell
energy of formation from the pure elements = -695 meV per atom
volume = 20.73 Å³/atom
D(E_F) = 4.3 states/eV/f.u.
energy = -56.16 eV for the cell shown

***

Here is a relaxed Pm2MgPt crystal from Alexandria. Energies are from PBE.

Cell lengths 7.3818, 7.3818, 7.3818 Å; angles 90.00, 90.00, 90.00 degrees
Space group Fm-3m (No. 225)
Inequivalent atoms, fractional coordinates:
1 Pm 0.2500 0.2500 0.2500
2 Mg 0.0000 0.0000 0.0000
3 Pt 0.0000 0.0000 0.5000

## Properties
total magnetic moment = 0.0 μB per cell
energy of formation from the pure elements = -509 meV per atom
excess energy over the best structure of this formula in the dataset = 0.35 eV per formula unit
volume = 25.14 Å³/atom
D(E_F) = 3.6 states/eV/f.u.
energy = -76.70 eV for the cell shown

***

Here is a relaxed PmMgSbPt crystal from Alexandria. Energies are from PBE.

Cell lengths 7.1677, 7.1677, 7.1677 Å; angles 90.00, 90.00, 90.00 degrees
Space group F-43m (No. 216)
Inequivalent atoms, fractional coordinates:
1 Pm 0.0000 0.0000 0.0000
2 Mg 0.0000 0.0000 0.5000
3 Sb 0.2500 0.2500 0.7500
4 Pt 0.2500 0.2500 0.2500

## Properties
total magnetic moment = 0.0 μB per cell
E_form (uncorrected) = -0.70 eV/atom
volume = 23.02 Å³/atom
D(E_F) = 1.3 states/eV/f.u.
energy = -77.27 eV for the cell shown

***

Here is a relaxed Pm2MgSi4Pt3 crystal from Alexandria. Energies are from PBE.

Cell lengths 4.2115, 4.2115, 10.3455 Å; angles 90.00, 90.00, 90.00 degrees
Space group P-4m2 (No. 115)
Inequivalent atoms, fractional coordinates:
1 Pm 0.0000 0.5000 0.2422
2 Mg 0.0000 0.0000 0.5000
3 Si 0.0000 0.0000 0.0000
4 Si 0.0000 0.5000 0.6485
5 Si 0.5000 0.5000 0.0000
6 Pt 0.0000 0.5000 0.8828
7 Pt 0.5000 0.5000 0.5000

## Properties
total magnetic moment = 0.0 μB per cell
E_form (uncorrected) = -0.99 eV/atom
volume = 18.35 Å³/atom
D(E_F) = 3.8 states/eV/f.u.
energy = -60.82 eV for the cell shown

***

Here is a relaxed PmMgSiPt crystal from Alexandria. Energies are from PBE.

Cell lengths 6.8588, 6.8588, 6.8588 Å; angles 90.00, 90.00, 90.00 degrees
Space group F-43m (No. 216)
Inequivalent atoms, fractional coordinates:
1 Pm 0.0000 0.0000 0.0000
2 Mg 0.0000 0.0000 0.5000
3 Si 0.2500 0.2500 0.7500
4 Pt 0.2500 0.2500 0.2500

## Properties
total magnetic moment = 0.0 μB per cell
E_form (uncorrected) = -0.61 eV/atom
volume = 20.17 Å³/atom
D(E_F) = 2.6 states/eV/f.u.
energy = -80.94 eV for the cell shown

***

Here is a relaxed PmMgSiPt6 crystal from Alexandria. Energies are from PBE.

Cell lengths 6.5223, 9.2866, 11.2942 Å; angles 90.00, 90.00, 90.00 degrees
Space group Imma (No. 74)
Inequivalent atoms, fractional coordinates:
1 Pm 0.0000 0.2500 0.1830
2 Mg 0.2500 0.2500 0.7500
3 Si 0.0000 0.0000 0.5000
4 Pt 0.0000 0.2500 0.4330
5 Pt 0.0000 0.2500 0.9267
6 Pt 0.2212 0.0065 0.8728

## Properties
total magnetic moment = 0.0 μB per cell
E_form (uncorrected) = -0.54 eV/atom
volume = 19.00 Å³/atom
D(E_F) = 3.2 states/eV/f.u.
energy = -211.32 eV for the cell shown